Below is a geometry-optimized Mg2TlCd2 structure, with properties calculated at the PBE level.

```
Mg2TlCd2
1.0
-0.4957 3.9934 7.8010
4.9950 -6.2914 3.5380
2.6049 1.6782 -0.6935
Mg Tl Cd
4 2 4
direct
0.6294 0.1294 0.0000
0.8706 0.6294 0.0000
0.3706 0.8706 0.0000
0.1294 0.3706 0.0000
0.0000 0.0000 0.0000
0.5000 0.5000 0.0000
0.1675 0.6675 0.5000
0.6675 0.8325 0.5000
0.3325 0.1675 0.5000
0.8325 0.3325 0.5000
```

Values from the calculation:
D(E_F) (states/eV/atom): 0.399
Energy above the most stable polymorph in this dataset (meV/atom): 16.0
Calculated formation energy (eV per formula unit): -0.080
DFT total energy (eV per atom): -1.49
Total moment (μB per formula unit): 0.00

---

Below is a geometry-optimized S4O structure, with properties calculated at the PBE level.

```
S4O
1.0
-0.2568 4.1661 0.8821
-4.0980 -0.0015 -1.1860
-1.1578 -0.9187 4.0019
S O
4 1
direct
0.0000 0.0000 0.0000
0.5000 0.5000 0.0000
0.0000 0.5000 0.5000
0.5000 0.0000 0.5000
0.5000 0.5000 0.5000
```

Values from the calculation:
D(E_F) (states/eV/atom): 0.898
Energy above the most stable polymorph in this dataset (meV/atom): 914.7
DFT total energy (eV per atom): -3.04
Formation energy (no corrections) (eV per atom): 1.249
Total moment (μB per formula unit): 0.00

---

Below is a geometry-optimized Tb2YSc structure, with properties calculated at the PBE level.

```
Tb2YSc
1.0
-1.0477 -3.0039 1.5209
-1.8293 -2.3730 -1.8592
8.6058 -6.7131 -3.2431
Tb Sc Y
2 1 1
direct
0.0803 0.0803 0.7591
0.2530 0.2530 0.2409
0.6665 0.6665 0.0004
0.5001 0.5001 0.4997
```

Values from the calculation:
D(E_F) (states/eV/atom): 1.565
Energy above the most stable polymorph in this dataset (meV/atom): 4.5
Calculated formation energy (eV per formula unit): 0.160
DFT total energy (eV per atom): -5.47
Total moment (μB per formula unit): 0.00

---

Question: Number 1 is which compound?
Answer: Mg2TlCd2